This record from Alexandria via LeMat-Bulk describes a relaxed structure of MnPdCl3. The functional is PBE.

Geometry as POSCAR:
```
MnPdCl3
1.0
4.606 0.000 0.000
0.000 4.606 0.000
0.000 0.000 4.606
Mn Pd Cl
1 1 3
Direct
0.000 0.000 0.000 Mn
0.500 0.500 0.500 Pd
0.000 0.000 0.500 Cl
0.000 0.500 0.000 Cl
0.500 0.000 0.000 Cl
```

Values from the calculation:
Offset from the most stable computed form (meV/atom): 222
Formation energy (no corrections) (eV per atom): 0.160